{"formula": "Ca2Ga3Au2", "functional": "PBE-GGA", "state": "optimized geometry", "mass_density_g_cm3": 7.524, "final_energy_ry_per_atom": -0.248, "ef_ev_per_atom": -0.562, "lattice_angstrom": [[2.113, -9.453, 0.000], [2.113, 9.453, 0.000], [0.000, 0.000, 7.548]], "species": ["Ca", "Ca", "Ca", "Ca", "Ga", "Ga", "Ga", "Ga", "Ga", "Ga", "Au", "Au", "Au", "Au"], "fractional_positions": [[0.064, 0.936, 0.750], [0.156, 0.844, 0.250], [0.844, 0.156, 0.750], [0.936, 0.064, 0.250], [0.231, 0.769, 0.750], [0.444, 0.556, 0.584], [0.444, 0.556, 0.916], [0.556, 0.444, 0.084], [0.556, 0.444, 0.416], [0.769, 0.231, 0.250], [0.316, 0.684, 0.054], [0.316, 0.684, 0.446], [0.684, 0.316, 0.554], [0.684, 0.316, 0.946]]}

***

{"formula": "ErPuSnO6", "functional": "PBE-GGA", "state": "optimized geometry", "mass_density_g_cm3": 8.193, "final_energy_ry_per_atom": -0.620, "raw_formation_energy_mev_per_atom": -2592, "lattice_angstrom": [[5.006, 0.000, 0.000], [0.000, 5.006, 0.000], [0.000, 0.000, 10.125]], "species": ["Er", "Er", "Pu", "Pu", "Sn", "Sn", "O", "O", "O", "O", "O", "O", "O", "O", "O", "O", "O", "O"], "fractional_positions": [[0.000, 0.000, 0.000], [0.500, 0.500, 0.500], [0.000, 0.000, 0.666], [0.500, 0.500, 0.166], [0.000, 0.000, 0.331], [0.500, 0.500, 0.831], [0.185, 0.185, 0.495], [0.195, 0.195, 0.175], [0.199, 0.199, 0.825], [0.301, 0.699, 0.325], [0.305, 0.695, 0.675], [0.315, 0.685, 0.995], [0.685, 0.315, 0.995], [0.695, 0.305, 0.675], [0.699, 0.301, 0.325], [0.801, 0.801, 0.825], [0.805, 0.805, 0.175], [0.815, 0.815, 0.495]]}

***

{"formula": "LaGePCl2", "functional": "PBE-GGA", "state": "optimized geometry", "mass_density_g_cm3": 3.060, "final_energy_ry_per_atom": -0.312, "e_above_lowest_polymorph_ev_per_atom": 0.174, "raw_formation_energy_mev_per_atom": -519, "lattice_angstrom": [[5.383, 0.000, 0.000], [0.000, 5.383, 0.000], [0.000, 0.000, 5.869]], "species": ["La", "Ge", "P", "Cl", "Cl"], "fractional_positions": [[0.000, 0.000, 0.000], [0.500, 0.500, 0.500], [0.000, 0.000, 0.500], [0.000, 0.500, 0.000], [0.500, 0.000, 0.000]]}

***

{"formula": "V3InBr", "functional": "PBE-GGA", "state": "optimized geometry", "mass_density_g_cm3": 4.152, "final_energy_ry_per_atom": -0.356, "e_above_lowest_polymorph_ev_per_atom": 0.633, "raw_formation_energy_mev_per_atom": 1505, "lattice_angstrom": [[5.180, 0.000, 0.000], [0.000, 5.180, 0.000], [0.000, 0.000, 5.180]], "species": ["V", "V", "V", "In", "Br"], "fractional_positions": [[0.000, 0.000, 0.500], [0.000, 0.500, 0.000], [0.500, 0.000, 0.000], [0.000, 0.000, 0.000], [0.500, 0.500, 0.500]]}

***

{"formula": "Pr5NdDy2Ho", "functional": "PBE-GGA", "state": "optimized geometry", "mass_density_g_cm3": 6.955, "final_energy_ry_per_atom": -0.325, "ef_ev_per_atom": 0.289, "lattice_angstrom": [[-4.740, 4.740, 7.112], [4.740, -4.740, 7.112], [4.740, 4.740, -7.112]], "species": ["Pr", "Pr", "Pr", "Pr", "Pr", "Pr", "Pr", "Pr", "Pr", "Pr", "Nd", "Nd", "Dy", "Dy", "Dy", "Dy", "Ho", "Ho"], "fractional_positions": [[0.000, 0.000, 0.000], [0.070, 0.570, 0.905], [0.165, 0.070, 0.500], [0.335, 0.835, 0.905], [0.430, 0.335, 0.500], [0.500, 0.500, 0.000], [0.570, 0.665, 0.500], [0.665, 0.165, 0.095], [0.835, 0.930, 0.500], [0.930, 0.430, 0.095], [0.250, 0.250, 0.000], [0.750, 0.750, 0.000], [0.108, 0.392, 0.500], [0.392, 0.892, 0.283], [0.608, 0.108, 0.717], [0.892, 0.608, 0.500], [0.250, 0.750, 0.500], [0.750, 0.250, 0.500]]}

***

{"formula": "LiTl2InCl4", "functional": "PBE-GGA", "state": "optimized geometry", "mass_density_g_cm3": 4.606, "final_energy_ry_per_atom": -0.235, "raw_formation_energy_mev_per_atom": -1095, "lattice_angstrom": [[6.251, -6.196, 0.000], [6.251, 6.196, 0.000], [-6.137, 0.000, 6.258]], "species": ["Li", "Li", "Tl", "Tl", "Tl", "Tl", "In", "In", "Cl", "Cl", "Cl", "Cl", "Cl", "Cl", "Cl", "Cl"], "fractional_positions": [[0.000, 0.500, 0.000], [0.500, 0.000, 0.500], [0.000, 0.000, 0.000], [0.000, 0.000, 0.500], [0.000, 0.500, 0.500], [0.500, 0.000, 0.000], [0.500, 0.500, 0.000], [0.500, 0.500, 0.500], [0.204, 0.299, 0.002], [0.251, 0.748, 0.014], [0.252, 0.749, 0.486], [0.299, 0.204, 0.502], [0.701, 0.796, 0.498], [0.748, 0.251, 0.514], [0.749, 0.252, 0.986], [0.796, 0.701, 0.998]]}

***

{"formula": "Rb4Er3ZrS8", "functional": "PBE-GGA", "state": "optimized geometry", "mass_density_g_cm3": 4.686, "final_energy_ry_per_atom": -0.399, "raw_formation_energy_mev_per_atom": -1733, "lattice_angstrom": [[3.983, 2.299, 7.684], [-3.983, 2.299, 7.684], [0.000, -4.599, 7.684]], "species": ["Rb", "Rb", "Rb", "Rb", "Er", "Er", "Er", "Zr", "S", "S", "S", "S", "S", "S", "S", "S"], "fractional_positions": [[0.000, 0.000, 0.000], [0.000, 0.500, 0.500], [0.500, 0.000, 0.500], [0.500, 0.500, 0.000], [0.000, 0.000, 0.500], [0.000, 0.500, 0.000], [0.500, 0.000, 0.000], [0.500, 0.500, 0.500], [0.231, 0.231, 0.231], [0.240, 0.725, 0.725], [0.275, 0.275, 0.760], [0.275, 0.760, 0.275], [0.725, 0.240, 0.725], [0.725, 0.725, 0.240], [0.760, 0.275, 0.275], [0.769, 0.769, 0.769]]}

***

{"formula": "Nd7Sm2Sc2", "functional": "PBE-GGA", "state": "optimized geometry", "mass_density_g_cm3": 6.332, "final_energy_ry_per_atom": -0.360, "e_above_lowest_polymorph_ev_per_atom": 0.008, "ef_ev_per_atom": 0.145, "lattice_angstrom": [[5.528, -5.817, 0.000], [5.528, 5.817, 0.000], [-2.259, 0.000, 5.710]], "species": ["Nd", "Nd", "Nd", "Nd", "Nd", "Nd", "Nd", "Sm", "Sm", "Sc", "Sc"], "fractional_positions": [[0.000, 0.000, 0.000], [0.059, 0.580, 0.810], [0.420, 0.941, 0.190], [0.421, 0.421, 0.204], [0.579, 0.579, 0.796], [0.580, 0.059, 0.810], [0.941, 0.420, 0.190], [0.212, 0.212, 0.584], [0.788, 0.788, 0.416], [0.227, 0.773, 0.500], [0.773, 0.227, 0.500]]}